# 1
Crystalline Pm8PrTm2 at its relaxed geometry, computed with GGA-PBE.

Cell lengths 10.339, 10.339, 5.652 Å; angles 93.01, 93.01, 39.96 degrees
Atoms (fractional coordinates):
Pm 0.045 0.045 0.238
Pm 0.097 0.635 0.268
Pm 0.311 0.311 0.768
Pm 0.365 0.903 0.732
Pm 0.635 0.097 0.268
Pm 0.689 0.689 0.232
Pm 0.903 0.365 0.732
Pm 0.955 0.955 0.762
Pr 0.500 0.500 0.000
Tm 0.215 0.215 0.253
Tm 0.785 0.785 0.747

ρ, g cm⁻³: 7.0
Crystal system: monoclinic
ΔE to the lowest computed polymorph, kJ per mole of atoms: 0.00
SG: No. 12

---

# 2
Crystalline PmPr2Tm12 at its relaxed geometry, computed with GGA-PBE.

Cell lengths 6.579, 6.579, 24.302 Å; angles 92.19, 92.19, 115.17 degrees
Atoms (fractional coordinates):
Pm 0.250 0.250 0.000
Pm 0.750 0.750 0.000
Pr 0.069 0.069 0.273
Pr 0.431 0.431 0.727
Pr 0.569 0.569 0.273
Pr 0.931 0.931 0.727
Tm 0.051 0.551 0.201
Tm 0.084 0.584 0.333
Tm 0.138 0.638 0.554
Tm 0.142 0.142 0.570
Tm 0.214 0.214 0.864
Tm 0.230 0.730 0.924
Tm 0.270 0.770 0.076
Tm 0.286 0.286 0.136
Tm 0.358 0.358 0.430
Tm 0.362 0.862 0.446
Tm 0.416 0.916 0.667
Tm 0.449 0.949 0.799
Tm 0.551 0.051 0.201
Tm 0.584 0.084 0.333
Tm 0.638 0.138 0.554
Tm 0.642 0.642 0.570
Tm 0.714 0.714 0.864
Tm 0.730 0.230 0.924
Tm 0.770 0.270 0.076
Tm 0.786 0.786 0.136
Tm 0.858 0.858 0.430
Tm 0.862 0.362 0.446
Tm 0.916 0.416 0.667
Tm 0.949 0.449 0.799

ρ, g cm⁻³: 8.6
Crystal system: monoclinic
SG: No. 12

---

# 3
Crystalline PmPr4Tm6 at its relaxed geometry, computed with GGA-PBE.

Cell lengths 8.498, 8.498, 8.498 Å; angles 125.39, 125.39, 80.89 degrees
Atoms (fractional coordinates):
Pm 0.000 0.000 0.000
Pr 0.248 0.248 0.649
Pr 0.400 0.752 0.000
Pr 0.600 0.600 0.351
Pr 0.752 0.400 0.000
Tm 0.000 0.500 0.500
Tm 0.071 0.565 0.000
Tm 0.435 0.435 0.506
Tm 0.500 0.000 0.500
Tm 0.565 0.071 0.000
Tm 0.929 0.929 0.494

ρ, g cm⁻³: 7.3
Crystal system: tetragonal
ΔE to the lowest computed polymorph, kJ per mole of atoms: 16.39
SG: No. 121

---

# 4
Crystalline Pm6Pr12Tm at its relaxed geometry, computed with GGA-PBE.

Cell lengths 8.936, 8.936, 8.936 Å; angles 97.73, 97.73, 97.73 degrees
Atoms (fractional coordinates):
Pm 0.094 0.362 0.362
Pm 0.362 0.094 0.362
Pm 0.362 0.362 0.094
Pm 0.638 0.638 0.906
Pm 0.638 0.906 0.638
Pm 0.906 0.638 0.638
Pr 0.083 0.083 0.670
Pr 0.083 0.670 0.083
Pr 0.238 0.500 0.762
Pr 0.238 0.762 0.500
Pr 0.330 0.917 0.917
Pr 0.500 0.238 0.762
Pr 0.500 0.762 0.238
Pr 0.670 0.083 0.083
Pr 0.762 0.238 0.500
Pr 0.762 0.500 0.238
Pr 0.917 0.330 0.917
Pr 0.917 0.917 0.330
Tm 0.500 0.500 0.500

ρ, g cm⁻³: 6.6
Crystal system: trigonal
ΔE to the lowest computed polymorph, kJ per mole of atoms: 0.00
SG: No. 166

---

# 5
Crystalline Pm2Pr2Tm7 at its relaxed geometry, computed with GGA-PBE.

Cell lengths 8.074, 8.074, 6.069 Å; angles 106.51, 106.51, 91.61 degrees
Atoms (fractional coordinates):
Pm 0.209 0.791 0.000
Pm 0.791 0.209 0.000
Pr 0.399 0.399 0.688
Pr 0.601 0.601 0.312
Tm 0.000 0.000 0.500
Tm 0.065 0.589 0.323
Tm 0.232 0.232 0.075
Tm 0.411 0.935 0.677
Tm 0.589 0.065 0.323
Tm 0.768 0.768 0.925
Tm 0.935 0.411 0.677

ρ, g cm⁻³: 8.1
Crystal system: monoclinic
SG: No. 12

---

# 6
Crystalline PmPr12Tm2 at its relaxed geometry, computed with GGA-PBE.

Cell lengths 6.897, 6.897, 25.215 Å; angles 90.00, 90.00, 116.58 degrees
Atoms (fractional coordinates):
Pm 0.250 0.750 0.999
Pm 0.750 0.250 0.001
Pr 0.002 0.502 0.868
Pr 0.003 0.997 0.074
Pr 0.019 0.519 0.414
Pr 0.024 0.976 0.560
Pr 0.250 0.250 0.199
Pr 0.250 0.250 0.324
Pr 0.250 0.250 0.676
Pr 0.250 0.250 0.801
Pr 0.476 0.524 0.560
Pr 0.481 0.981 0.414
Pr 0.497 0.503 0.074
Pr 0.498 0.998 0.868
Pr 0.502 0.002 0.132
Pr 0.503 0.497 0.926
Pr 0.519 0.019 0.586
Pr 0.524 0.476 0.440
Pr 0.750 0.750 0.199
Pr 0.750 0.750 0.324
Pr 0.750 0.750 0.676
Pr 0.750 0.750 0.801
Pr 0.976 0.024 0.440
Pr 0.981 0.481 0.586
Pr 0.997 0.003 0.926
Pr 0.998 0.498 0.132
Tm 0.250 0.750 0.267
Tm 0.250 0.750 0.730
Tm 0.750 0.250 0.270
Tm 0.750 0.250 0.733

ρ, g cm⁻³: 6.7
Crystal system: orthorhombic
SG: No. 67

---

# 7
Crystalline Pm4Pr15Tm at its relaxed geometry, computed with GGA-PBE.

Cell lengths 5.227, 5.227, 26.042 Å; angles 90.00, 90.00, 90.00 degrees
Atoms (fractional coordinates):
Pm 0.000 0.000 0.100
Pm 0.000 0.000 0.301
Pm 0.000 0.000 0.699
Pm 0.000 0.000 0.900
Pr 0.000 0.500 0.000
Pr 0.000 0.500 0.201
Pr 0.000 0.500 0.402
Pr 0.000 0.500 0.598
Pr 0.000 0.500 0.799
Pr 0.500 0.000 0.000
Pr 0.500 0.000 0.201
Pr 0.500 0.000 0.402
Pr 0.500 0.000 0.598
Pr 0.500 0.000 0.799
Pr 0.500 0.500 0.100
Pr 0.500 0.500 0.302
Pr 0.500 0.500 0.500
Pr 0.500 0.500 0.698
Pr 0.500 0.500 0.900
Tm 0.000 0.000 0.500

ρ, g cm⁻³: 6.7
Crystal system: tetragonal
SG: No. 123

---

# 8
Crystalline Pm7Pr2Tm at its relaxed geometry, computed with GGA-PBE.

Cell lengths 10.324, 10.324, 3.575 Å; angles 90.00, 90.00, 108.95 degrees
Atoms (fractional coordinates):
Pm 0.000 0.000 0.000
Pm 0.121 0.371 0.000
Pm 0.175 0.825 0.500
Pm 0.371 0.121 0.000
Pm 0.629 0.879 0.000
Pm 0.825 0.175 0.500
Pm 0.879 0.629 0.000
Pr 0.329 0.671 0.000
Pr 0.671 0.329 0.000
Tm 0.500 0.500 0.500

ρ, g cm⁻³: 6.8
Crystal system: orthorhombic
ΔE to the lowest computed polymorph, kJ per mole of atoms: 22.58
SG: No. 65

---

# 9
Crystalline PmPr6Tm4 at its relaxed geometry, computed with GGA-PBE.

Cell lengths 11.124, 11.124, 3.591 Å; angles 90.00, 90.00, 120.00 degrees
Atoms (fractional coordinates):
Pm 0.000 0.000 0.000
Pr 0.183 0.365 0.500
Pr 0.183 0.817 0.500
Pr 0.525 0.051 0.000
Pr 0.525 0.475 0.000
Pr 0.635 0.817 0.500
Pr 0.949 0.475 0.000
Tm 0.320 0.160 0.500
Tm 0.333 0.667 0.000
Tm 0.840 0.160 0.500
Tm 0.840 0.680 0.500

ρ, g cm⁻³: 7.2
Crystal system: hexagonal
ΔE to the lowest computed polymorph, kJ per mole of atoms: 0.00
SG: No. 187

---

# 10
Crystalline PmPr5Tm2 at its relaxed geometry, computed with GGA-PBE.

Cell lengths 9.166, 9.166, 9.166 Å; angles 118.48, 118.48, 92.66 degrees
Atoms (fractional coordinates):
Pm 0.250 0.250 0.000
Pm 0.750 0.750 0.000
Pr 0.000 0.000 0.000
Pr 0.014 0.514 0.203
Pr 0.189 0.986 0.500
Pr 0.311 0.811 0.797
Pr 0.486 0.689 0.500
Pr 0.500 0.500 0.000
Pr 0.514 0.311 0.500
Pr 0.689 0.189 0.203
Pr 0.811 0.014 0.500
Pr 0.986 0.486 0.797
Tm 0.148 0.352 0.500
Tm 0.352 0.852 0.204
Tm 0.648 0.148 0.796
Tm 0.852 0.648 0.500

ρ, g cm⁻³: 7.1
Crystal system: tetragonal
ΔE to the lowest computed polymorph, kJ per mole of atoms: 0.00
SG: No. 140

---

# 11
Crystalline Pm2Pr2Tm3 at its relaxed geometry, computed with GGA-PBE.

Cell lengths 6.223, 6.223, 8.058 Å; angles 97.41, 97.41, 48.34 degrees
Atoms (fractional coordinates):
Pm 0.071 0.071 0.211
Pm 0.929 0.929 0.789
Pr 0.213 0.213 0.645
Pr 0.787 0.787 0.355
Tm 0.357 0.357 0.072
Tm 0.500 0.500 0.500
Tm 0.643 0.643 0.928

ρ, g cm⁻³: 7.8
Crystal system: monoclinic
ΔE to the lowest computed polymorph, kJ per mole of atoms: 0.00
SG: No. 12

---

# 12
Crystalline Pm5PrTm4 at its relaxed geometry, computed with GGA-PBE.

Cell lengths 8.752, 8.752, 11.452 Å; angles 108.62, 108.62, 23.40 degrees
Atoms (fractional coordinates):
Pm 0.000 0.000 0.000
Pm 0.289 0.289 0.884
Pm 0.310 0.310 0.422
Pm 0.690 0.690 0.578
Pm 0.711 0.711 0.116
Pr 0.000 0.000 0.500
Tm 0.105 0.105 0.296
Tm 0.418 0.418 0.208
Tm 0.582 0.582 0.792
Tm 0.895 0.895 0.704

ρ, g cm⁻³: 7.8
Crystal system: monoclinic
ΔE to the lowest computed polymorph, kJ per mole of atoms: 0.00
SG: No. 12

---

| no. | raw total energy (eV per atom) | energy of formation from the pure elements (eV per atom) | M_tot (μB per formula unit) |
| --- | --- | --- | --- |
| 1 | -4.561 | 0.14 | 0.0 |
| 2 | -4.417 | 0.11 | 0.0 |
| 3 | -4.138 | 0.47 | 0.0 |
| 4 | -4.636 | 0.12 | 0.0 |
| 5 | -4.428 | 0.15 | 0.0 |
| 6 | -4.582 | 0.15 | 0.0 |
| 7 | -4.746 | 0.01 | 0.0 |
| 8 | -4.348 | 0.38 | 0.0 |
| 9 | -4.518 | 0.15 | 0.0 |
| 10 | -4.578 | 0.12 | 0.0 |
| 11 | -4.617 | 0.02 | 0.0 |
| 12 | -4.603 | 0.04 | 0.0 |